[1]
PBE-GGA LiAlAg2Mo, optimized geometry; energy relative to the elements = 0.778 eV per atom
1.0
4.2335 0.0000 0.0000
0.0000 4.2335 0.0000
0.0000 0.0000 4.6387
Li Al Ag Mo
1 1 2 1
direct
0.0000 0.0000 0.0000
0.5000 0.5000 0.5000
0.0000 0.5000 0.0000
0.5000 0.0000 0.0000
0.0000 0.0000 0.5000

***

[2]
PBE-GGA CoReSi2, optimized geometry; E_form (uncorrected) = -121 meV/atom; ΔE to the lowest computed polymorph = 0.168 eV per atom
1.0
3.2680 0.0000 0.0000
0.0000 4.3271 0.0000
0.0000 0.0000 7.0864
Co Re Si
2 2 4
direct
0.0000 0.0000 0.0000
0.5000 0.5000 0.5000
0.0000 0.0000 0.5000
0.5000 0.5000 0.0000
0.0000 0.5000 0.2700
0.0000 0.5000 0.7300
0.5000 0.0000 0.2300
0.5000 0.0000 0.7700

***

[3]
PBE-GGA Cs2SrCdSb2, optimized geometry; E_form (uncorrected) = -605 meV/atom
1.0
-3.8016 8.8262 3.8726
3.8016 -8.8262 3.8726
3.8016 8.8262 -3.8726
Cs Sr Cd Sb
4 2 2 4
direct
0.1770 0.2307 0.4077
0.3230 0.7307 0.0538
0.6770 0.2693 0.9462
0.8230 0.7693 0.5923
0.2500 0.7500 0.5000
0.7500 0.2500 0.5000
0.2500 0.2500 0.0000
0.7500 0.7500 0.0000
0.0930 0.7760 0.8690
0.4070 0.2760 0.6830
0.5930 0.7240 0.3170
0.9070 0.2240 0.1310

***

[4]
PBE-GGA Mg5Al4Au4, optimized geometry; energy relative to the elements = -0.418 eV per atom
1.0
-5.4841 5.4841 2.0317
5.4841 -5.4841 2.0317
5.4841 5.4841 -2.0317
Mg Al Au
5 4 4
direct
0.0000 0.0000 0.0000
0.2994 0.6315 0.9309
0.3685 0.2994 0.6678
0.6315 0.7006 0.3322
0.7006 0.3685 0.0691
0.1048 0.4200 0.5248
0.4200 0.8952 0.3152
0.5800 0.1048 0.6848
0.8952 0.5800 0.4752
0.0591 0.7564 0.8155
0.2436 0.0591 0.3027
0.7564 0.9409 0.6973
0.9409 0.2436 0.1845

***

[5]
PBE-GGA LiHgP2Cl, optimized geometry; E_form (uncorrected) = 534 meV/atom; ΔE to the lowest computed polymorph = 0.020 eV per atom
1.0
4.9498 0.0000 0.0000
0.0000 4.9498 0.0000
0.0000 0.0000 6.0901
Li Hg P Cl
1 1 2 1
direct
0.0000 0.0000 0.0000
0.5000 0.5000 0.5000
0.0000 0.5000 0.5000
0.5000 0.0000 0.5000
0.5000 0.5000 0.0000

***

[6]
PBE-GGA Sc3CuIr, optimized geometry; energy relative to the elements = -0.549 eV per atom; ΔE to the lowest computed polymorph = 0.000 eV per atom
1.0
2.2993 -8.9565 0.0000
2.2993 8.9565 0.0000
0.0000 0.0000 4.5947
Sc Cu Ir
6 2 2
direct
0.0723 0.9277 0.7500
0.2502 0.7498 0.7500
0.4284 0.5716 0.7500
0.5716 0.4284 0.2500
0.7498 0.2502 0.2500
0.9277 0.0723 0.2500
0.1599 0.8401 0.2500
0.8401 0.1599 0.7500
0.3430 0.6570 0.2500
0.6570 0.3430 0.7500

***

[7]
PBE-GGA Tc2MoRuW, optimized geometry; energy relative to the elements = 2.051 eV per atom
1.0
4.5562 0.0000 0.0000
0.0000 4.5562 0.0000
0.0000 0.0000 4.7012
Tc Mo Ru W
2 1 1 1
direct
0.0000 0.5000 0.0000
0.5000 0.0000 0.0000
0.0000 0.0000 0.0000
0.5000 0.5000 0.5000
0.0000 0.0000 0.5000

***

[8]
PBE-GGA Rb4Tm3PuSe8, optimized geometry; E_form (uncorrected) = -1642 meV/atom
1.0
4.2306 2.4426 7.9773
-4.2306 2.4426 7.9773
0.0000 -4.8851 7.9773
Rb Tm Pu Se
4 3 1 8
direct
0.0000 0.0000 0.0000
0.0000 0.5000 0.5000
0.5000 0.0000 0.5000
0.5000 0.5000 0.0000
0.0000 0.0000 0.5000
0.0000 0.5000 0.0000
0.5000 0.0000 0.0000
0.5000 0.5000 0.5000
0.2245 0.7346 0.7346
0.2310 0.2310 0.2310
0.2654 0.2654 0.7755
0.2654 0.7755 0.2654
0.7346 0.2245 0.7346
0.7346 0.7346 0.2245
0.7690 0.7690 0.7690
0.7755 0.2654 0.2654